# Zn2Cu5Au2

An optimized crystal structure of Zn2Cu5Au2 (PBE, Alexandria).

Cell lengths 6.6642, 6.6642, 8.6413 Å; angles 103.46, 103.46, 41.96 degrees
With the nearest neighbours (Å) after each atom.
Atoms (fractional coordinates):
Zn1 0.0524 0.0524 0.3861  5 Cu 2.57-2.78, 3 Zn 2.62-2.76, 3 Au 2.65-2.72
Zn2 0.3803 0.3818 0.7190  5 Cu 2.52-2.75, 4 Au 2.64-2.76, 2 Zn 2.75-2.76
Zn3 0.6182 0.6197 0.2810  5 Cu 2.52-2.75, 4 Au 2.64-2.76, 2 Zn 2.75-2.76
Zn4 0.9476 0.9476 0.6139  5 Cu 2.57-2.78, 3 Zn 2.62-2.76, 3 Au 2.65-2.72
Cu1 0.0107 0.6572 0.3364  7 Cu 2.55-2.86, 3 Zn 2.60-2.78, 2 Au 2.68
Cu2 0.1315 0.7461 0.1173  6 Cu 2.55-2.82, 2 Zn 2.57-2.75, 3 Au 2.69-2.86
Cu3 0.2539 0.8685 0.8827  6 Cu 2.55-2.82, 2 Zn 2.57-2.75, 3 Au 2.69-2.86
Cu4 0.2851 0.2649 0.9432  7 Cu 2.58-2.72, 1 Zn 2.60, 4 Au 2.61-2.83
Cu5 0.3428 0.9893 0.6636  7 Cu 2.55-2.86, 3 Zn 2.60-2.78, 2 Au 2.68
Cu6 0.4874 0.0755 0.4535  3 Zn 2.52-2.60, 5 Cu 2.58-2.70, 1 Au 2.63
Cu7 0.5852 0.1809 0.2204  7 Cu 2.58-2.82, 1 Zn 2.65, 3 Au 2.67-2.70
Cu8 0.7351 0.7149 0.0568  7 Cu 2.58-2.72, 1 Zn 2.60, 4 Au 2.61-2.83
Cu9 0.8191 0.4148 0.7796  7 Cu 2.58-2.82, 1 Zn 2.65, 3 Au 2.67-2.70
Cu10 0.9245 0.5126 0.5465  3 Zn 2.52-2.60, 5 Cu 2.58-2.70, 1 Au 2.63
Au1 0.1858 0.1602 0.1732  7 Cu 2.61-2.74, 3 Zn 2.65-2.76, 1 Au 2.81
Au2 0.5004 0.4996 0.5000  6 Cu 2.67-2.82, 6 Zn 2.68-2.72
Au3 0.6715 0.3285 0.0000  2 Zn 2.64, 8 Cu 2.67-2.86, 2 Au 2.81
Au4 0.8398 0.8142 0.8268  7 Cu 2.61-2.74, 3 Zn 2.65-2.76, 1 Au 2.81

The value obtained for the formation energy is -0.055 eV/atom. The value obtained for the total energy is -3.342 eV/atom. The calculation puts the energy above the most stable polymorph in this dataset at 0 meV per atom.